ZrAgIr2Pd, optimized geometry, DFT PBE-GGA; VASP energy = -5.207 eV/atom; total moment = 0.0 μB/f.u.
1.0
-2.8888 2.6357 2.7556
1.0494 -2.8484 3.8247
3.6719 2.8550 1.1187
Zr Ir Pd Ag
1 2 1 1
direct
0.0000 0.5000 0.0000
0.0000 0.0000 0.5000
0.5000 0.0000 0.0000
0.5000 0.5000 0.5000
0.0000 0.0000 0.0000